No. 1
ZnCuSi2 | PBE | relaxed

Summary:
Space-group type: Immm (71)
E_form (uncorrected) in eV/atom: 0.2118

a = 5.8568 Å, b = 5.8568 Å, c = 5.8568 Å
α = 154.57°, β = 136.25°, γ = 51.28°
Fractional positions:
Si 0.4560 0.4560 0.0000
Si 0.0440 0.0440 0.0000
Zn 0.7500 0.2500 0.5000
Cu 0.2500 0.7500 0.5000

=====

No. 2
ZnCuSi4 | PBE | relaxed

Summary:
Space-group type: F-43m (216)
E_form (uncorrected) in eV/atom: 0.4978

a = 5.0417 Å, b = 5.0417 Å, c = 5.0417 Å
α = 60.00°, β = 60.00°, γ = 60.00°
Fractional positions:
Zn 0.7500 0.7500 0.7500
Si 0.3747 0.3747 0.3747
Si 0.3747 0.3747 0.8758
Si 0.8758 0.3747 0.3747
Si 0.3747 0.8758 0.3747
Cu 0.0000 0.0000 0.0000

=====

No. 3
ZnCu5Si | PBE | relaxed

Summary:
Space-group type: C2/c (15)
E_form (uncorrected) in eV/atom: -0.0248

a = 4.7162 Å, b = 4.7162 Å, c = 8.5678 Å
α = 76.08°, β = 76.08°, γ = 94.84°
Fractional positions:
Cu 0.9777 0.6152 0.3467
Cu 0.8576 0.1424 0.2500
Cu 0.3848 0.0223 0.1533
Cu 0.6152 0.9777 0.8467
Cu 0.4431 0.7699 0.4626
Cu 0.7699 0.4431 0.9626
Cu 0.1424 0.8576 0.7500
Cu 0.0223 0.3848 0.6533
Cu 0.5569 0.2301 0.5374
Cu 0.2301 0.5569 0.0374
Si 0.0000 0.0000 0.0000
Si 0.0000 0.0000 0.5000
Zn 0.4960 0.5040 0.7500
Zn 0.5040 0.4960 0.2500

=====

No. 4
ZnCuSi | PBE | relaxed

Summary:
Polymorph energy (0 for the lowest one) in meV per atom: 66
Space-group type: P3m1 (156)
E_form (uncorrected) in eV/atom: 0.1202

a = 2.8300 Å, b = 2.8300 Å, c = 5.9971 Å
α = 90.00°, β = 90.00°, γ = 120.00°
Fractional positions:
Si 0.3333 0.6667 0.3194
Cu 0.0000 0.0000 0.0088
Zn 0.6667 0.3333 0.6718

=====

No. 5
Zn2Cu6Si | PBE | relaxed

Summary:
Polymorph energy (0 for the lowest one) in meV per atom: 0
Space-group type: C2/m (12)
E_form (uncorrected) in eV/atom: -0.0570

a = 3.5538 Å, b = 9.5907 Å, c = 5.9017 Å
α = 35.94°, β = 72.48°, γ = 79.32°
Fractional positions:
Zn 0.6182 0.1713 0.5923
Zn 0.3818 0.8287 0.4077
Cu 0.0539 0.8317 0.0604
Cu 0.8397 0.4975 0.8232
Cu 0.1603 0.5025 0.1768
Cu 0.7200 0.8304 0.7295
Cu 0.2800 0.1696 0.2705
Cu 0.9461 0.1683 0.9396
Si 0.5000 0.5000 0.5000

=====

No. 6
ZnCuSi2 | PBE | relaxed

Summary:
Space-group type: I4/mmm (139)
E_form (uncorrected) in eV/atom: 0.2895

a = 4.6801 Å, b = 4.6801 Å, c = 4.6801 Å
α = 131.17°, β = 131.17°, γ = 71.54°
Fractional positions:
Cu 0.7500 0.2500 0.5000
Zn 0.2500 0.7500 0.5000
Si 0.0000 0.0000 0.0000
Si 0.5000 0.5000 0.0000

=====

Question: The lowest E_form (uncorrected) belongs to which entry?
Answer: Zn2Cu6Si

=====

What did the sixth record say?
ZnCuSi2 | PBE | relaxed

Summary:
Space-group type: I4/mmm (139)
E_form (uncorrected) in eV/atom: 0.2895

a = 4.6801 Å, b = 4.6801 Å, c = 4.6801 Å
α = 131.17°, β = 131.17°, γ = 71.54°
Fractional positions:
Cu 0.7500 0.2500 0.5000
Zn 0.2500 0.7500 0.5000
Si 0.0000 0.0000 0.0000
Si 0.5000 0.5000 0.0000

=====

Question: Look up the E_form (uncorrected) of the first one.
Answer: 0.2118 eV/atom

=====

Repeat the third record exactly.
ZnCu5Si | PBE | relaxed

Summary:
Space-group type: C2/c (15)
E_form (uncorrected) in eV/atom: -0.0248

a = 4.7162 Å, b = 4.7162 Å, c = 8.5678 Å
α = 76.08°, β = 76.08°, γ = 94.84°
Fractional positions:
Cu 0.9777 0.6152 0.3467
Cu 0.8576 0.1424 0.2500
Cu 0.3848 0.0223 0.1533
Cu 0.6152 0.9777 0.8467
Cu 0.4431 0.7699 0.4626
Cu 0.7699 0.4431 0.9626
Cu 0.1424 0.8576 0.7500
Cu 0.0223 0.3848 0.6533
Cu 0.5569 0.2301 0.5374
Cu 0.2301 0.5569 0.0374
Si 0.0000 0.0000 0.0000
Si 0.0000 0.0000 0.5000
Zn 0.4960 0.5040 0.7500
Zn 0.5040 0.4960 0.2500